(1)
Entry from Alexandria: La2CdN after structural relaxation (PBE-GGA).

* density: 5.83 g/cm3
* ΔE to the lowest computed polymorph: 0.129 eV/atom
* uncorrected energy: -5.49 eV/atom
* magnetization: 0.0 μB/f.u.

extended XYZ file:
```
16
Lattice="7.251 0.000 0.000 0.000 7.251 0.000 0.000 0.000 8.757" Properties=species:S:1:pos:R:3 pbc="T T T"
La 1.057 1.813 1.095
La 1.813 4.683 3.284
La 1.813 6.194 7.662
La 2.568 1.813 5.473
La 4.683 5.438 5.473
La 5.438 1.057 7.662
La 5.438 2.568 3.284
La 6.194 5.438 1.095
Cd 0.000 0.000 4.378
Cd 0.000 3.626 6.568
Cd 3.626 0.000 2.189
Cd 3.626 3.626 0.000
N 0.000 0.000 0.000
N 0.000 3.626 2.189
N 3.626 0.000 6.568
N 3.626 3.626 4.378
```

=====

(2)
Entry from Alexandria: BaNaC3 after structural relaxation (PBE-GGA).

* density: 3.58 g/cm3
* ΔE to the lowest computed polymorph: 0.000 eV/atom
* uncorrected energy: -3.45 eV/atom
* magnetization: 0.0 μB/f.u.
* ΔH_f (0 K): 62.99 kcal/mol of atoms

extended XYZ file:
```
5
Lattice="4.499 0.000 0.000 0.000 4.499 0.000 0.000 0.000 4.499" Properties=species:S:1:pos:R:3 pbc="T T T"
Ba 0.000 0.000 0.000
Na 2.250 2.250 2.250
C 0.000 2.250 2.250
C 2.250 0.000 2.250
C 2.250 2.250 0.000
```

=====

(3)
Entry from Alexandria: SrAc3Au3 after structural relaxation (PBE-GGA).

* density: 7.09 g/cm3
* uncorrected energy: -3.73 eV/atom
* magnetization: 0.0 μB/f.u.
* ΔH_f (0 K): -7.46 kcal/mol of atoms

extended XYZ file:
```
14
Lattice="8.605 0.000 0.000 0.000 8.605 0.000 0.000 0.000 8.605" Properties=species:S:1:pos:R:3 pbc="T T T"
Sr 0.000 0.000 0.000
Sr 4.303 4.303 4.303
Ac 0.000 2.151 4.303
Ac 0.000 6.454 4.303
Ac 2.151 4.303 0.000
Ac 4.303 0.000 2.151
Ac 4.303 0.000 6.454
Ac 6.454 4.303 0.000
Au 0.000 4.303 2.151
Au 0.000 4.303 6.454
Au 2.151 0.000 4.303
Au 4.303 2.151 0.000
Au 4.303 6.454 0.000
Au 6.454 0.000 4.303
```